No. 1
Crystalline LaPbN2O at its relaxed geometry, computed with GGA-PBE.

Calculated values
As for the total DFT energy (no corrections): -31.00 eV per formula unit.

Cell and atoms, written as extended XYZ:
```
5
Lattice="4.2804 0.0000 0.0000 0.0000 4.2804 0.0000 0.0000 0.0000 4.3602" Properties=species:S:1:pos:R:3 pbc="T T T"
La 0.0000 0.0000 0.0000
Pb 2.1402 2.1402 2.1801
N 0.0000 2.1402 2.1801
N 2.1402 0.0000 2.1801
O 2.1402 2.1402 0.0000
```



No. 2
Crystalline NdMgZnAu at its relaxed geometry, computed with GGA-PBE.

Calculated values
The formation energy is -2.15 eV/f.u.

Cell and atoms, written as extended XYZ:
```
4
Lattice="0.0000 3.5202 3.5202 3.5202 0.0000 3.5202 3.5202 3.5202 0.0000" Properties=species:S:1:pos:R:3 pbc="T T T"
Nd 0.0000 0.0000 0.0000
Mg 3.5202 3.5202 3.5202
Zn 5.2804 5.2804 5.2804
Au 1.7601 1.7601 1.7601
```



No. 3
Crystalline FeAsRuSe2 at its relaxed geometry, computed with GGA-PBE.

Calculated values
The calculation puts the energy above the lowest structure with this stoichiometry at 0 meV/atom.

Cell and atoms, written as extended XYZ:
```
5
Lattice="4.5907 0.0000 0.0000 0.0000 4.5907 0.0000 0.0000 0.0000 4.4309" Properties=species:S:1:pos:R:3 pbc="T T T"
Fe 0.0000 0.0000 0.0000
As 0.0000 0.0000 2.2155
Ru 2.2953 2.2953 2.2155
Se 0.0000 2.2953 0.0000
Se 2.2953 0.0000 0.0000
```



No. 4
Crystalline TlRuW2 at its relaxed geometry, computed with GGA-PBE.

Calculated values
The formation energy is 2.18 eV/f.u. The calculation puts the energy above the lowest structure with this stoichiometry at 58 meV/atom.

Cell and atoms, written as extended XYZ:
```
4
Lattice="2.8763 0.0000 0.0000 0.0000 2.8763 0.0000 0.0000 0.0000 8.2533" Properties=species:S:1:pos:R:3 pbc="T T T"
Tl 0.0000 0.0000 0.0000
Ru 0.0000 0.0000 4.1267
W 1.4381 1.4381 2.3152
W 1.4381 1.4381 5.9382
```



No. 5
Crystalline LiCa2CdAu6 at its relaxed geometry, computed with GGA-PBE.

Calculated values
The formation energy is -4.75 eV/f.u.

Cell and atoms, written as extended XYZ:
```
10
Lattice="5.5890 0.0000 0.0000 2.7854 5.3502 0.0000 2.2994 -0.1414 7.3912" Properties=species:S:1:pos:R:3 pbc="T T T"
Li 0.0000 0.0000 0.0000
Ca 5.6077 4.4301 1.8285
Ca 5.0661 0.7786 5.5627
Cd 2.5424 2.6044 3.6956
Au 1.4219 1.8019 1.1062
Au 2.2668 -0.0280 4.6692
Au 6.5143 3.4038 6.2505
Au 4.1596 1.8049 1.1407
Au 8.4071 5.2367 2.7221
Au 9.2519 3.4068 6.2850
```



No. 6
Crystalline BaSnPb2S4 at its relaxed geometry, computed with GGA-PBE.

Calculated values
As for the total DFT energy (no corrections): -36.79 eV per formula unit.

Cell and atoms, written as extended XYZ:
```
16
Lattice="-4.3048 4.3085 6.0813 4.3048 -4.3085 6.0813 4.3048 4.3085 -6.0813" Properties=species:S:1:pos:R:3 pbc="T T T"
Ba 0.0000 0.0000 0.0000
Ba 0.0000 4.3085 0.0000
Sn -2.1524 2.1542 3.0406
Sn 2.1524 2.1542 3.0406
Pb 2.1524 2.1542 -3.0406
Pb 2.1524 -2.1542 3.0406
Pb 4.3048 0.0000 0.0000
Pb 0.0000 0.0000 6.0813
S 4.3048 0.0433 2.9848
S 2.2307 2.1542 0.0363
S 6.3789 2.1542 0.0363
S 0.0000 0.0433 3.0965
S 4.3048 4.2652 2.9848
S -2.0741 2.1542 6.0450
S 2.0741 2.1542 6.0450
S 0.0000 4.2652 3.0965
```



No. 7
Crystalline In2Cu5Au12 at its relaxed geometry, computed with GGA-PBE.

Calculated values
The formation energy is -0.29 eV/f.u.

Cell and atoms, written as extended XYZ:
```
19
Lattice="6.2588 -3.9324 0.0000 6.2588 3.9324 0.0000 -1.3629 0.0000 6.8535" Properties=species:S:1:pos:R:3 pbc="T T T"
In 6.2588 2.2142 0.0000
In 6.2588 -2.2142 0.0000
Cu -0.6815 0.0000 3.4268
Cu 2.0426 0.0000 3.5151
Cu 3.2722 0.0000 5.7904
Cu 7.8825 0.0000 1.0631
Cu 9.1122 0.0000 3.3385
Au 2.7354 1.4559 1.2912
Au 0.5487 0.0000 5.7174
Au 4.2008 1.6655 3.7798
Au 6.9540 1.6655 3.0737
Au 2.7354 -1.4559 1.2912
Au 5.1823 0.0000 1.5342
Au 5.9725 0.0000 5.3193
Au 8.4194 1.4559 5.5623
Au 4.2008 -1.6655 3.7798
Au 6.9540 -1.6655 3.0737
Au 10.6061 0.0000 1.1361
Au 8.4194 -1.4559 5.5623
```



No. 8
Crystalline GaNi2H2 at its relaxed geometry, computed with GGA-PBE.

Calculated values
The calculation puts the energy above the lowest structure with this stoichiometry at 32 meV/atom.

Cell and atoms, written as extended XYZ:
```
10
Lattice="2.4326 -3.9898 0.0000 2.4326 3.9898 0.0000 -2.1394 0.0000 4.2920" Properties=species:S:1:pos:R:3 pbc="T T T"
Ga 0.8281 3.0695 3.2190
Ga 1.8977 -3.0695 1.0730
Ni 1.8977 2.2430 1.0730
Ni 0.8281 0.5535 3.2190
Ni 1.8977 -0.5535 1.0730
Ni 0.8281 -2.2430 3.2190
H -0.4427 0.9309 4.2438
H 0.6270 -0.9309 2.0978
H 2.0988 0.9309 2.1942
H 3.1685 -0.9309 0.0482
```